Al3C (PBE-GGA, optimized geometry); space group = Fm-3m; magnetic moment = 0.0 Bohr magnetons per cell; E_form = 1.113 eV per atom; ΔE to the lowest computed polymorph = 1088 meV per atom
1.0
-1.068 -3.943 1.411
2.903 -3.199 -0.123
1.702 -1.516 3.672
C Al
1 3
direct
0.250 0.250 0.250
0.000 0.000 0.000
0.750 0.750 0.750
0.500 0.500 0.500

---

SiHgIr4 (PBE-GGA, optimized geometry); space group = F-43m; magnetic moment = 0.0 Bohr magnetons per cell
1.0
-2.476 -1.783 4.277
-4.357 -2.893 -0.502
0.103 -5.126 1.149
Si Hg Ir
1 1 4
direct
0.750 0.750 0.750
0.000 0.000 0.000
0.874 0.375 0.375
0.375 0.375 0.874
0.375 0.874 0.375
0.375 0.375 0.375

---

FeRuW2 (PBE-GGA, optimized geometry); space group = Pm; magnetic moment = 3.0 Bohr magnetons per cell; E_form = 0.173 eV per atom; ΔE to the lowest computed polymorph = 62 meV per atom
1.0
4.351 0.000 0.000
0.000 2.711 0.001
0.000 0.828 4.985
Fe Ru W
1 1 2
direct
0.000 0.512 0.489
0.500 0.715 0.755
0.000 0.023 0.987
0.500 0.249 0.269

---

Pr3NdBi4 (PBE-GGA, optimized geometry); space group = Cmmm; magnetic moment = 0.0 Bohr magnetons per cell; E_form = -0.958 eV per atom; ΔE to the lowest computed polymorph = 6 meV per atom
1.0
-3.622 2.892 0.113
-4.579 -5.599 -3.474
-0.388 -0.798 7.975
Pr Nd Bi
3 1 4
direct
0.000 0.000 0.500
0.500 0.500 0.500
0.000 0.500 0.000
0.500 0.000 0.000
0.000 0.249 0.249
0.500 0.751 0.249
0.000 0.751 0.751
0.500 0.249 0.751

---

PrNd12Hg6 (PBE-GGA, optimized geometry); space group = R-3; magnetic moment = 0.0 Bohr magnetons per cell; E_form = -0.199 eV per atom
1.0
8.271 0.738 0.885
-0.524 8.287 0.885
-0.524 -0.610 8.312
Pr Nd Hg
1 12 6
direct
0.000 0.000 0.000
0.811 0.533 0.422
0.422 0.811 0.533
0.533 0.422 0.811
0.189 0.467 0.578
0.578 0.189 0.467
0.467 0.578 0.189
0.092 0.125 0.397
0.875 0.603 0.908
0.603 0.908 0.875
0.908 0.875 0.603
0.125 0.397 0.092
0.397 0.092 0.125
0.721 0.875 0.253
0.747 0.279 0.125
0.125 0.747 0.279
0.279 0.125 0.747
0.253 0.721 0.875
0.875 0.253 0.721

---

Ce2Ga6Fe (PBE-GGA, optimized geometry); space group = Fm-3m; magnetic moment = 2.9 Bohr magnetons per cell; E_form = -0.505 eV per atom
1.0
5.389 0.000 3.111
1.796 5.081 3.111
0.000 0.000 6.222
Ce Ga Fe
2 6 1
direct
0.250 0.250 0.250
0.750 0.750 0.750
0.279 0.721 0.721
0.279 0.721 0.279
0.721 0.279 0.721
0.721 0.279 0.279
0.721 0.721 0.279
0.279 0.279 0.721
0.000 0.000 0.000

---

no.,mass density (g cm⁻³),electronic total energy (eV per atom)
1,2.7,-4.0002
2,16.2,-6.2259
3,14.8,-10.7382
4,8.3,-5.2866
5,8.8,-3.5567
6,7.4,-4.7814